(1)
The following is a DFT calculation (GGA-PBE) of a relaxed Mn3Zn5 crystal.

Values from the calculation:
Energy relative to the elements: 1.61 kcal/mol of atoms
E_tot: -66.6 eV per cell

Geometry as POSCAR:
```
Mn3Zn5
1.0
5.218 0.000 0.000
2.363 6.562 0.000
2.400 -0.223 6.557
Mn Zn
6 10
direct
0.010 0.082 0.168
0.250 0.546 0.954
0.489 0.333 0.419
0.511 0.667 0.581
0.750 0.454 0.046
0.990 0.918 0.832
0.006 0.584 0.674
0.239 0.205 0.801
0.251 0.038 0.461
0.261 0.699 0.296
0.494 0.826 0.916
0.506 0.174 0.084
0.739 0.301 0.704
0.749 0.962 0.539
0.761 0.795 0.199
0.994 0.416 0.326
```


(2)
The following is a DFT calculation (GGA-PBE) of a relaxed TbPmDyS3 crystal.

Values from the calculation:
E_tot: -75.9 eV per cell
Raw formation energy: -1.929 eV per atom

Geometry as POSCAR:
```
TbPmDyS3
1.0
6.858 0.000 0.000
0.000 3.874 0.000
-2.240 0.000 10.058
Tb Pm Dy S
2 2 2 6
direct
0.126 0.250 0.131
0.874 0.750 0.869
0.342 0.250 0.804
0.658 0.750 0.196
0.234 0.750 0.444
0.766 0.250 0.556
0.053 0.750 0.656
0.280 0.750 0.997
0.454 0.250 0.338
0.546 0.750 0.662
0.720 0.250 0.003
0.947 0.250 0.344
```